5
Lattice="-3.457 3.457 3.457 3.457 -3.457 3.457 3.457 3.457 -3.457" Properties=species:S:1:pos:R:3 comment="GGA-PBEsol Hg4Pb, optimized geometry" e_tot_ev_per_atom=-1.053 dos_ef_per_ev_fu=1.1 space_group="No. 229" e_form_ev_per_fu=1.0 relative_energy_kcal_per_mol_atoms=4.40 pbc="T T T"
Hg 1.729 1.729 -1.729
Hg 1.729 -1.729 1.729
Hg -1.729 1.729 1.729
Hg 1.729 1.729 1.729
Pb 0.000 0.000 0.000